The following is a DFT calculation (PBE-GGA) of an optimized crystal structure of AlSb2Br.

Geometry as POSCAR:
```
AlSb2Br
1.0
-5.032 -1.206 0.042
-3.182 2.294 3.374
-3.497 3.432 -1.664
Sb Br Al
2 1 1
Direct
0.750 0.750 0.750
0.250 0.250 0.250
0.500 0.500 0.500
0.000 0.000 0.000
```

Properties
Raw formation energy: 234 meV/atom
VASP energy: -12.72 eV/f.u.
SG: No. 225
Distance to the lowest polymorph of the same formula: 433 meV/atom
DOS at the Fermi energy: 2.3 states/eV/f.u.